Density functional theory data (GGA+U) for crystalline CrSbTe2F at its relaxed geometry.

The calculation puts the density at 5.8 g/cm³. The calculation puts the energy above the most stable polymorph in this dataset at 0.35 eV per formula unit. The calculated total energy is -17.0 eV/cell. The calculation puts the total magnetic moment at 0.0 μB per formula unit.

The space group is P4/mmm (No. 123) and the conventional cell measures 5.424, 5.424 and 4.340 Å, with angles of 90.00, 90.00 and 90.00 degrees. The asymmetric unit holds Cr at (0.000, 0.000, 0.000), Sb at (0.500, 0.500, 0.000), Te at (0.000, 0.500, 0.500) and F at (0.500, 0.500, 0.500).